BaBe2CdSi | PBE | optimized geometry

Summary:
space group	P4/mmm (123)
calculated volume	25.7	Å³ per atom
raw formation energy	591	meV/atom
uncorrected energy	-12.757	eV per cell

Cell: 4.501 4.501 6.348 Å, 90.00 90.00 90.00°
Sites, in units of the cell vectors:
Ba 0.000 0.000 0.000
Be 0.000 0.500 0.500
Be 0.500 0.000 0.500
Cd 0.500 0.500 0.000
Si 0.000 0.000 0.500